MnSbTe2Au: relaxed, PBE.

a b c (Å): 5.5387 5.5387 5.2359
angles (deg): 90.00 90.00 90.00
Last column: nearest neighbours and their distance in Å.
Space group P4/mmm (No. 123)
Unique sites:
Mn1 0.0000 0.0000 0.0000 x1  8 Te 3.81, 4 Sb 3.92
Sb1 0.5000 0.5000 0.0000 x1  2 Au 2.62
Te1 0.0000 0.5000 0.5000 x2  2 Au 2.77
Au1 0.5000 0.5000 0.5000 x1  2 Sb 2.62, 4 Te 2.77

Properties
Density of states at the Fermi level (states/eV/cell): 4.477
Magnetic moment (μB/f.u.): 4.61
E (eV per atom): -3.794
Formation energy (no corrections) (eV/f.u.): 3.88
ΔE to the lowest computed polymorph (eV/atom): 0.2299
Theoretical density (g/cm3): 6.5